(i)
First-principles (GGA-PBE) data for a geometry-optimized Tb2PdO4 structure, as listed in OQMD via LeMat-Bulk.

a b c (Å): 6.7326 6.7326 6.7326
angles (deg): 119.99 90.02 119.99
Site moments in Bohr magnetons follow the coordinates.
Fractional positions:
O 0.6139 0.2279 0.3860  0.16
O 0.1581 0.7721 0.3860  0.14
O 0.6140 0.7721 0.3861  0.13
O 0.1360 0.2721 0.4081  0.15
O 0.6140 0.2279 0.8419  0.15
O 0.1360 0.7279 0.8639  0.13
O 0.5919 0.7279 0.8640  0.14
O 0.1361 0.2721 0.8640  0.16
Pd 0.0000 0.0000 0.0000  1.23
Pd 0.7500 0.5000 0.2500  1.24
Tb 0.3750 0.7500 0.1250  0.02
Tb 0.8750 0.2500 0.6250  0.02
Tb 0.3750 0.2500 0.6250  0.02
Tb 0.3750 0.7500 0.6250  0.03

(ii)
First-principles (GGA-PBE) data for a geometry-optimized Tb2PdO4 structure, as listed in OQMD via LeMat-Bulk.

a b c (Å): 7.8799 7.8799 6.2582
angles (deg): 90.00 90.00 90.00
Fractional positions:
O 0.2484 0.0709 0.0791
O 0.5709 0.2516 0.0791
O 0.4291 0.7484 0.0791
O 0.7516 0.9292 0.0791
O 0.0709 0.2484 0.4209
O 0.7484 0.4291 0.4209
O 0.2516 0.5709 0.4209
O 0.9292 0.7516 0.4209
O 0.7516 0.0709 0.5791
O 0.4291 0.2516 0.5791
O 0.5709 0.7484 0.5791
O 0.2484 0.9292 0.5791
O 0.9292 0.2484 0.9209
O 0.2516 0.4291 0.9209
O 0.7484 0.5709 0.9209
O 0.0709 0.7516 0.9209
Pd 0.5000 0.0000 0.0616
Pd 0.0000 0.5000 0.4384
Pd 0.5000 0.0000 0.5616
Pd 0.0000 0.5000 0.9384
Tb 0.8198 0.1802 0.2500
Tb 0.3198 0.3198 0.2500
Tb 0.6802 0.6802 0.2500
Tb 0.1802 0.8198 0.2500
Tb 0.1802 0.1802 0.7500
Tb 0.6802 0.3198 0.7500
Tb 0.3198 0.6802 0.7500
Tb 0.8198 0.8198 0.7500

Relative energies, in eV/atom, with the most stable structure set to zero: (i) 0.384; (ii) 0.000.

(i)
First-principles (GGA-PBE) data for a geometry-optimized ZnTePdO structure, as listed in OQMD via LeMat-Bulk.

a b c (Å): 6.2550 8.4776 5.0678
angles (deg): 90.00 90.00 90.00
Fractional positions:
O 0.6160 0.0684 0.0877
O 0.1160 0.9316 0.0877
O 0.8840 0.0684 0.5877
O 0.3840 0.9316 0.5877
Pd 0.1356 0.3244 0.1235
Pd 0.6356 0.6756 0.1235
Pd 0.3644 0.3244 0.6235
Pd 0.8644 0.6756 0.6235
Te 0.5633 0.3487 0.1294
Te 0.0633 0.6513 0.1294
Te 0.9367 0.3487 0.6294
Te 0.4367 0.6513 0.6294
Zn 0.1609 0.0530 0.4094
Zn 0.6609 0.9470 0.4094
Zn 0.3391 0.0530 0.9094
Zn 0.8391 0.9470 0.9094

(ii)
First-principles (GGA-PBE) data for a geometry-optimized ZnTePdO structure, as listed in OQMD via LeMat-Bulk.

a b c (Å): 4.5105 4.5105 7.9009
angles (deg): 90.00 90.00 90.00
Fractional positions:
O 0.2500 0.2500 0.0532
O 0.7500 0.7500 0.9468
Pd 0.2500 0.2500 0.3045
Pd 0.7500 0.7500 0.6955
Te 0.7500 0.2500 0.5000
Te 0.2500 0.7500 0.5000
Zn 0.7500 0.7500 0.1747
Zn 0.2500 0.2500 0.8253

(iii)
First-principles (GGA-PBE) data for a geometry-optimized ZnTePdO structure, as listed in OQMD via LeMat-Bulk.

a b c (Å): 4.0928 4.0928 8.6351
angles (deg): 90.00 90.00 90.00
Fractional positions:
O 0.7500 0.2500 0.5000
O 0.2500 0.7500 0.5000
Pd 0.7500 0.7500 0.4446
Pd 0.2500 0.2500 0.5554
Te 0.2500 0.2500 0.1680
Te 0.7500 0.7500 0.8320
Zn 0.7500 0.7500 0.1430
Zn 0.2500 0.2500 0.8570

(iv)
First-principles (GGA-PBE) data for a geometry-optimized ZnTePdO structure, as listed in OQMD via LeMat-Bulk.

a b c (Å): 5.0318 7.0368 8.1774
angles (deg): 90.00 90.00 90.00
Fractional positions:
O 0.5872 0.2271 0.1343
O 0.4128 0.7271 0.3657
O 0.9128 0.7729 0.6343
O 0.0872 0.2729 0.8657
Pd 0.4108 0.7678 0.1036
Pd 0.5892 0.2678 0.3964
Pd 0.0892 0.2322 0.6036
Pd 0.9108 0.7322 0.8964
Te 0.9173 0.8845 0.1809
Te 0.0827 0.3845 0.3191
Te 0.5827 0.1155 0.6809
Te 0.4173 0.6155 0.8191
Zn 0.2636 0.1337 0.0370
Zn 0.7364 0.6337 0.4630
Zn 0.2364 0.8663 0.5370
Zn 0.7636 0.3663 0.9630

Relative energies, in eV/atom, with the most stable structure set to zero: (i) 0.000; (ii) 0.585; (iii) 0.438; (iv) 0.129.

(i)
First-principles (GGA-PBE) data for a geometry-optimized ZnTePdO structure, as listed in OQMD via LeMat-Bulk.

a b c (Å): 7.0464 7.0464 5.7386
angles (deg): 90.00 90.00 149.36
Fractional positions:
O 0.5751 0.4249 0.0200
O 0.4249 0.5751 0.5200
Pd 0.1773 0.8226 0.0091
Pd 0.8226 0.1773 0.5091
Te 0.8175 0.1825 0.0218
Te 0.1825 0.8175 0.5218
Zn 0.5416 0.4584 0.3416
Zn 0.4584 0.5416 0.8416

(ii)
First-principles (GGA-PBE) data for a geometry-optimized ZnTePdO structure, as listed in OQMD via LeMat-Bulk.

a b c (Å): 6.4659 10.8940 8.2406
angles (deg): 90.00 90.00 90.00
Fractional positions:
O 0.2515 0.2783 0.0945
O 0.2485 0.7783 0.0945
O 0.7515 0.2783 0.4056
O 0.7485 0.7783 0.4056
O 0.2515 0.2217 0.5944
O 0.2485 0.7217 0.5944
O 0.7515 0.2217 0.9056
O 0.7485 0.7217 0.9056
Pd 0.9989 0.2763 0.2468
Pd 0.5011 0.7763 0.2468
Pd 0.4989 0.2763 0.2532
Pd 0.0011 0.7763 0.2532
Pd 0.9989 0.2237 0.7468
Pd 0.5011 0.7237 0.7468
Pd 0.4989 0.2237 0.7532
Pd 0.0011 0.7237 0.7532
Te 0.9501 0.0258 0.2476
Te 0.5499 0.5258 0.2476
Te 0.4501 0.0258 0.2524
Te 0.0499 0.5258 0.2524
Te 0.9501 0.4742 0.7476
Te 0.5499 0.9742 0.7476
Te 0.4501 0.4742 0.7524
Te 0.0499 0.9742 0.7524
Zn 0.7504 0.3743 0.0247
Zn 0.7496 0.8743 0.0247
Zn 0.2504 0.3743 0.4753
Zn 0.2496 0.8743 0.4753
Zn 0.7504 0.1257 0.5247
Zn 0.7496 0.6257 0.5247
Zn 0.2504 0.1257 0.9753
Zn 0.2496 0.6257 0.9753

(iii)
First-principles (GGA-PBE) data for a geometry-optimized ZnTePdO structure, as listed in OQMD via LeMat-Bulk.

a b c (Å): 3.8880 3.8880 9.3173
angles (deg): 90.00 90.00 90.00
Fractional positions:
O 0.7500 0.2500 0.5000
O 0.2500 0.7500 0.5000
Pd 0.7500 0.7500 0.1334
Pd 0.2500 0.2500 0.8666
Te 0.2500 0.2500 0.1566
Te 0.7500 0.7500 0.8434
Zn 0.7500 0.7500 0.4435
Zn 0.2500 0.2500 0.5565

(iv)
First-principles (GGA-PBE) data for a geometry-optimized ZnTePdO structure, as listed in OQMD via LeMat-Bulk.

a b c (Å): 6.7570 6.7570 6.1663
angles (deg): 90.00 90.00 150.75
Fractional positions:
O 0.1117 0.8883 0.0423
O 0.8883 0.1117 0.5423
Pd 0.0004 0.9996 0.2923
Pd 0.9996 0.0004 0.7923
Te 0.3668 0.6332 0.0418
Te 0.6332 0.3668 0.5418
Zn 0.6888 0.3112 0.0161
Zn 0.3112 0.6888 0.5161

Relative energies, in eV/atom, with the most stable structure set to zero: (i) 0.098; (ii) 0.245; (iii) 0.000; (iv) 0.161.

(i)
First-principles (GGA-PBE) data for a geometry-optimized ZnTePdO structure, as listed in OQMD via LeMat-Bulk.

a b c (Å): 6.2785 5.9825 8.2561
angles (deg): 90.00 90.00 90.00
Fractional positions:
O 0.5240 0.1552 0.1488
O 0.4760 0.6552 0.3512
O 0.9760 0.8448 0.6488
O 0.0240 0.3448 0.8512
Pd 0.7745 0.2501 0.0008
Pd 0.2255 0.7501 0.4992
Pd 0.7255 0.7499 0.5008
Pd 0.2745 0.2499 0.9992
Te 0.0245 0.9196 0.1098
Te 0.9755 0.4196 0.3902
Te 0.4755 0.0804 0.6098
Te 0.5245 0.5804 0.8902
Zn 0.4860 0.8264 0.1467
Zn 0.5140 0.3264 0.3533
Zn 0.0140 0.1736 0.6467
Zn 0.9860 0.6736 0.8533

(ii)
First-principles (GGA-PBE) data for a geometry-optimized ZnTePdO structure, as listed in OQMD via LeMat-Bulk.

a b c (Å): 4.4659 4.4659 7.0587
angles (deg): 90.00 90.00 90.00
Fractional positions:
O 0.7500 0.7500 0.4696
O 0.2500 0.2500 0.5304
Pd 0.7500 0.2500 0.0000
Pd 0.2500 0.7500 0.0000
Te 0.2500 0.2500 0.2586
Te 0.7500 0.7500 0.7414
Zn 0.7500 0.7500 0.2039
Zn 0.2500 0.2500 0.7961

(iii)
First-principles (GGA-PBE) data for a geometry-optimized ZnTePdO structure, as listed in OQMD via LeMat-Bulk.

a b c (Å): 6.2723 14.0884 6.7164
angles (deg): 90.00 90.00 90.00
Fractional positions:
O 0.8236 0.2490 0.1143
O 0.6764 0.7490 0.1143
O 0.3236 0.2490 0.3857
O 0.1764 0.7490 0.3857
O 0.8236 0.2510 0.6143
O 0.6764 0.7510 0.6143
O 0.3236 0.2510 0.8857
O 0.1764 0.7510 0.8857
Pd 0.2447 0.4049 0.0272
Pd 0.2553 0.9049 0.0272
Pd 0.7447 0.4049 0.4728
Pd 0.7553 0.9049 0.4728
Pd 0.2447 0.0951 0.5272
Pd 0.2553 0.5951 0.5272
Pd 0.7447 0.0951 0.9728
Pd 0.7553 0.5951 0.9728
Te 0.4981 0.0112 0.2496
Te 0.0019 0.5112 0.2496
Te 0.9981 0.0112 0.2504
Te 0.5019 0.5112 0.2504
Te 0.4981 0.4888 0.7496
Te 0.0019 0.9888 0.7496
Te 0.9981 0.4888 0.7504
Te 0.5019 0.9888 0.7504
Zn 0.5033 0.2518 0.1394
Zn 0.9967 0.7518 0.1394
Zn 0.0033 0.2518 0.3606
Zn 0.4967 0.7518 0.3606
Zn 0.5033 0.2482 0.6394
Zn 0.9967 0.7482 0.6394
Zn 0.0033 0.2482 0.8606
Zn 0.4967 0.7482 0.8606

Relative energies, in eV/atom, with the most stable structure set to zero: (i) 0.032; (ii) 0.144; (iii) 0.000.

(i)
First-principles (GGA-PBE) data for a geometry-optimized Tl2Pd2O3 structure, as listed in OQMD via LeMat-Bulk.

a b c (Å): 5.1846 5.1846 5.1846
angles (deg): 67.10 67.10 67.10
Fractional positions:
O 0.5000 0.0000 0.0000
O 0.0000 0.5000 0.0000
O 0.0000 0.0000 0.5000
Pd 0.2726 0.2726 0.2726
Pd 0.7274 0.7274 0.7274
Tl 0.0000 0.0000 0.0000
Tl 0.5000 0.5000 0.5000

(ii)
First-principles (GGA-PBE) data for a geometry-optimized Tl2Pd2O3 structure, as listed in OQMD via LeMat-Bulk.

a b c (Å): 6.4888 6.4888 6.4888
angles (deg): 109.47 109.47 109.47
Fractional positions:
O 0.7500 0.7898 0.0398
O 0.7102 0.4602 0.2500
O 0.2500 0.7102 0.4602
O 0.4602 0.2500 0.7102
O 0.7898 0.0398 0.7500
O 0.0398 0.7500 0.7898
Pd 0.8820 0.5000 0.0000
Pd 0.0000 0.8820 0.5000
Pd 0.6180 0.6180 0.6180
Pd 0.5000 0.0000 0.8820
Tl 0.3813 0.5000 0.0000
Tl 0.1187 0.1187 0.1187
Tl 0.5000 0.0000 0.3813
Tl 0.0000 0.3813 0.5000

Relative energies, in eV/atom, with the most stable structure set to zero: (i) 0.000; (ii) 0.086.

(i)
First-principles (GGA-PBE) data for a geometry-optimized Tl2PdO4 structure, as listed in OQMD via LeMat-Bulk.

a b c (Å): 6.0048 8.1469 8.1469
angles (deg): 90.00 90.00 90.00
Fractional positions:
O 0.0750 0.2624 0.0709
O 0.5750 0.7376 0.0709
O 0.5750 0.4291 0.2376
O 0.0750 0.5709 0.2376
O 0.4250 0.0709 0.2624
O 0.9250 0.9291 0.2624
O 0.9250 0.2376 0.4291
O 0.4250 0.7624 0.4291
O 0.4250 0.2376 0.5709
O 0.9250 0.7624 0.5709
O 0.9250 0.0709 0.7376
O 0.4250 0.9291 0.7376
O 0.0750 0.4291 0.7624
O 0.5750 0.5709 0.7624
O 0.5750 0.2624 0.9291
O 0.0750 0.7376 0.9291
Pd 0.0537 0.5000 0.0000
Pd 0.5537 0.5000 0.0000
Pd 0.4463 0.0000 0.5000
Pd 0.9463 0.0000 0.5000
Tl 0.7500 0.1713 0.1713
Tl 0.2500 0.8287 0.1713
Tl 0.2500 0.3287 0.3287
Tl 0.7500 0.6713 0.3287
Tl 0.7500 0.3287 0.6713
Tl 0.2500 0.6713 0.6713
Tl 0.2500 0.1713 0.8287
Tl 0.7500 0.8287 0.8287

(ii)
First-principles (GGA-PBE) data for a geometry-optimized Tl2PdO4 structure, as listed in OQMD via LeMat-Bulk.

a b c (Å): 5.6180 5.6181 11.8389
angles (deg): 90.00 90.00 90.00
Fractional positions:
O 0.1758 0.3244 0.0069
O 0.3242 0.8244 0.0069
O 0.7544 0.2770 0.2448
O 0.7456 0.7770 0.2448
O 0.2544 0.2770 0.2552
O 0.2456 0.7770 0.2552
O 0.6758 0.3244 0.4931
O 0.8242 0.8244 0.4931
O 0.1758 0.1756 0.5069
O 0.3242 0.6756 0.5069
O 0.7544 0.2230 0.7448
O 0.7456 0.7230 0.7448
O 0.2544 0.2230 0.7552
O 0.2456 0.7230 0.7552
O 0.6758 0.1756 0.9931
O 0.8242 0.6756 0.9931
Pd 0.0000 0.0000 0.0000
Pd 0.5000 0.5000 0.0000
Pd 0.5000 0.0000 0.5000
Pd 0.0000 0.5000 0.5000
Tl 0.4932 0.0278 0.1578
Tl 0.0068 0.5278 0.1578
Tl 0.9932 0.0278 0.3422
Tl 0.5068 0.5278 0.3422
Tl 0.4932 0.4722 0.6578
Tl 0.0068 0.9722 0.6578
Tl 0.9932 0.4722 0.8422
Tl 0.5068 0.9722 0.8422

Relative energies, in eV/atom, with the most stable structure set to zero: (i) 0.000; (ii) 0.106.